*one*
## LiInW (PBE)

Data for a relaxed structure of LiInW.

Unit cell a=7.1115 b=7.1115 c=7.1115 alpha=157.37 beta=157.37 gamma=32.22
Atoms (fractional coordinates):
Li: 0.6684 0.6684 0.0000
W: 0.3309 0.3309 0.0000
In: 0.0006 0.0006 0.0000

Theoretical density in g/cm³: 9.54
Fermi-level density of states in states/eV/cell: 1.89
Magnetization in μB/atom: 0.00
SG: No. 107

*two*
## LiInW (PBE)

Data for a relaxed structure of LiInW.

Unit cell a=5.3915 b=5.3915 c=5.3915 alpha=149.83 beta=140.48 gamma=50.51
Atoms (fractional coordinates):
In: 0.9874 0.9874 0.0000
Li: 0.3383 0.3383 0.0000
W: 0.6743 0.6743 0.0000

Theoretical density in g/cm³: 10.17
Fermi-level density of states in states/eV/cell: 1.95
Magnetization in μB/atom: 0.00
SG: No. 44

*three*
## LiInW (PBE)

Data for a relaxed structure of LiInW.

Unit cell a=4.2494 b=4.2494 c=4.2494 alpha=60.00 beta=60.00 gamma=60.00
Each line ends with the local moment (μB).
Atoms (fractional coordinates):
In: 0.5000 0.5000 0.5000  -0.08
W: 0.0000 0.0000 0.0000  1.46
Li: 0.7500 0.7500 0.7500  0.03

Theoretical density in g/cm³: 9.35
Fermi-level density of states in states/eV/cell: 3.28
Magnetization in μB/atom: 0.58
SG: No. 216

Which of them is the most stable? Correct choice: *one*.

*one*
## LiIn3W (PBE)

Data for a relaxed structure of LiIn3W.

Unit cell a=4.7811 b=4.7811 c=4.7811 alpha=90.00 beta=90.00 gamma=90.00
Each line ends with the local moment (μB).
Atoms (fractional coordinates):
In: 0.0000 0.0000 0.5000  -0.02
In: 0.5000 0.0000 0.0000  -0.01
In: 0.0000 0.5000 0.0000  -0.03
Li: 0.0000 0.0000 0.0000  0.01
W: 0.5000 0.5000 0.5000  2.40

Theoretical density in g/cm³: 8.13
Fermi-level density of states in states/eV/cell: 5.67
Magnetization in μB/atom: 0.61
SG: No. 221

*two*
## LiIn3W (PBE)

Data for a relaxed structure of LiIn3W.

Unit cell a=5.3069 b=5.3069 c=5.3069 alpha=90.00 beta=90.00 gamma=90.00
Atoms (fractional coordinates):
W: 0.0000 0.0000 0.0000
Li: 0.5000 0.5000 0.5000
In: 0.0000 0.0000 0.5000
In: 0.0000 0.5000 0.0000
In: 0.5000 0.0000 0.0000

Theoretical density in g/cm³: 5.95
Fermi-level density of states in states/eV/cell: 3.11
Magnetization in μB/atom: 0.00
SG: No. 221

Which of them is the most stable? Correct choice: *two*.

*one*
## Li2Y2In (PBE)

Data for a relaxed structure of Li2Y2In.

Unit cell a=3.5849 b=3.5849 c=9.7334 alpha=90.25 beta=90.25 gamma=91.09
Atoms (fractional coordinates):
Y: 0.5026 0.5026 0.2111
Y: 0.4974 0.4974 0.7889
Li: 0.2245 0.7755 0.5000
Li: 0.7755 0.2245 0.5000
In: 0.0000 0.0000 0.0000

Theoretical density in g/cm³: 4.07
Fermi-level density of states in states/eV/cell: 5.28
Magnetization in μB/atom: 0.00
SG: No. 12

*two*
## Li2Y2In (PBE)

Data for a relaxed structure of Li2Y2In.

Unit cell a=3.6031 b=3.6031 c=10.1817 alpha=79.81 beta=79.81 gamma=90.00
Atoms (fractional coordinates):
Y: 0.3974 0.3974 0.2052
Y: 0.6026 0.6026 0.7948
Li: 0.7500 0.2500 0.5000
Li: 0.2500 0.7500 0.5000
In: 0.0000 0.0000 0.0000

Theoretical density in g/cm³: 3.98
Fermi-level density of states in states/eV/cell: 6.22
Magnetization in μB/atom: 0.00
SG: No. 139

*three*
## Li2Y2In (PBE)

Data for a relaxed structure of Li2Y2In.

Unit cell a=7.0570 b=7.0570 c=4.8026 alpha=90.00 beta=90.00 gamma=90.00
Each line ends with the local moment (μB).
Atoms (fractional coordinates):
Y: 0.1870 0.6870 0.5000  0.20
Y: 0.3130 0.1870 0.5000  0.20
Y: 0.8130 0.3130 0.5000  0.20
Y: 0.6870 0.8130 0.5000  0.20
Li: 0.8736 0.6264 0.0000  0.02
Li: 0.3736 0.8736 0.0000  0.02
Li: 0.6264 0.1264 0.0000  0.02
Li: 0.1264 0.3736 0.0000  0.02
In: 0.5000 0.5000 0.0000  0.00
In: 0.0000 0.0000 0.0000  0.00

Theoretical density in g/cm³: 4.26
Fermi-level density of states in states/eV/cell: 6.93
Magnetization in μB/atom: 0.19
SG: No. 127

Which of them is the most stable? Correct choice: *three*.

*one*
## LiYIn (PBE)

Data for a relaxed structure of LiYIn.

Unit cell a=4.7951 b=8.1570 c=7.3253 alpha=90.00 beta=90.00 gamma=90.00
Atoms (fractional coordinates):
Y: 0.7500 0.2158 0.5033
Y: 0.7500 0.2842 0.0033
Y: 0.2500 0.7842 0.4967
Y: 0.2500 0.7158 0.9967
Li: 0.7500 0.5826 0.3041
Li: 0.2500 0.0826 0.1959
Li: 0.2500 0.4174 0.6959
Li: 0.7500 0.9174 0.8041
In: 0.2500 0.4130 0.2889
In: 0.7500 0.5870 0.7111
In: 0.2500 0.0870 0.7889
In: 0.7500 0.9130 0.2111

Theoretical density in g/cm³: 4.88
Fermi-level density of states in states/eV/cell: 11.46
Magnetization in μB/atom: 0.00
SG: No. 62

*two*
## LiYIn (PBE)

Data for a relaxed structure of LiYIn.

Unit cell a=6.1598 b=6.1603 c=3.5818 alpha=73.09 beta=73.11 gamma=33.80
Each line ends with the local moment (μB).
Atoms (fractional coordinates):
Y: 0.6643 0.6643 0.3357  0.18
Li: 0.3583 0.3583 0.6417  0.01
In: 0.9774 0.9774 0.0226  0.01

Theoretical density in g/cm³: 4.86
Fermi-level density of states in states/eV/cell: 3.48
Magnetization in μB/atom: 0.13
SG: No. 107

*three*
## LiYIn (PBE)

Data for a relaxed structure of LiYIn.

Unit cell a=5.4567 b=5.4567 c=5.4567 alpha=144.52 beta=127.87 gamma=64.65
Atoms (fractional coordinates):
Y: 0.6612 0.6612 0.0000
Li: 0.3349 0.3349 0.0000
In: 0.0039 0.0039 0.0000

Theoretical density in g/cm³: 4.76
Fermi-level density of states in states/eV/cell: 2.08
Magnetization in μB/atom: 0.00
SG: No. 44

*four*
## LiYIn (PBE)

Data for a relaxed structure of LiYIn.

Unit cell a=4.9395 b=4.9395 c=3.4112 alpha=90.00 beta=90.00 gamma=120.00
Atoms (fractional coordinates):
In: 0.0000 0.0000 0.1667
Y: 0.3333 0.6667 0.6666
Li: 0.6667 0.3333 0.1667

Theoretical density in g/cm³: 4.85
Fermi-level density of states in states/eV/cell: 1.56
Magnetization in μB/atom: 0.00
SG: No. 187

Which of them is the most stable? Correct choice: *four*.

*one*
## LiYIn (PBE)

Data for a relaxed structure of LiYIn.

Unit cell a=3.4634 b=3.4634 c=7.5624 alpha=90.00 beta=90.00 gamma=120.00
Atoms (fractional coordinates):
Li: 0.6667 0.3333 0.3090
In: 0.0000 0.0000 0.0196
Y: 0.3333 0.6667 0.6714

Theoretical density in g/cm³: 4.45
Fermi-level density of states in states/eV/cell: 2.84
Magnetization in μB/atom: 0.00
SG: No. 156

*two*
## LiYIn (PBE)

Data for a relaxed structure of LiYIn.

Unit cell a=4.7171 b=4.7171 c=4.7171 alpha=60.00 beta=60.00 gamma=60.00
Atoms (fractional coordinates):
In: 0.5000 0.5000 0.5000
Y: 0.0000 0.0000 0.0000
Li: 0.7500 0.7500 0.7500

Theoretical density in g/cm³: 4.71
Fermi-level density of states in states/eV/cell: 2.93
Magnetization in μB/atom: 0.00
SG: No. 216

*three*
## LiYIn (PBE)

Data for a relaxed structure of LiYIn.

Unit cell a=6.7377 b=5.3180 c=3.7034 alpha=89.99 beta=90.00 gamma=37.53
Each line ends with the local moment (μB).
Atoms (fractional coordinates):
Y: 0.0000 0.5000 0.0000  0.27
In: 0.0000 0.0000 0.5000  0.00
Li: 0.5000 0.5000 0.0000  0.01

Theoretical density in g/cm³: 4.33
Fermi-level density of states in states/eV/cell: 2.36
Magnetization in μB/atom: 0.22
SG: No. 10

Which of them is the most stable? Correct choice: *two*.

*one*
## Li6ZnIn2 (PBE)

Data for a relaxed structure of Li6ZnIn2.

Unit cell a=5.4255 b=5.4251 c=5.4251 alpha=95.30 beta=84.66 gamma=84.66
Atoms (fractional coordinates):
In: 0.3242 0.6755 0.6755
In: 0.6758 0.3245 0.3245
Zn: 0.0000 0.0000 0.0000
Li: 0.1672 0.1670 0.5002
Li: 0.8328 0.8330 0.4998
Li: 0.5000 0.1669 0.8331
Li: 0.5000 0.8331 0.1669
Li: 0.1672 0.5002 0.1670
Li: 0.8328 0.4998 0.8330

Theoretical density in g/cm³: 3.55
Fermi-level density of states in states/eV/cell: 3.28
Magnetization in μB/atom: 0.00
SG: No. 166

*two*
## Li6ZnIn2 (PBE)

Data for a relaxed structure of Li6ZnIn2.

Unit cell a=2.8420 b=8.0751 c=8.4982 alpha=118.38 beta=109.55 gamma=89.99
Atoms (fractional coordinates):
In: 0.6666 0.3333 0.6665
In: 0.3334 0.6667 0.3335
Li: 0.1674 0.9998 0.6705
Li: 0.8326 0.0002 0.3295
Li: 0.5001 0.3296 0.0000
Li: 0.1674 0.6707 0.6705
Li: 0.8326 0.3293 0.3295
Li: 0.4999 0.6704 0.0000
Zn: 0.0000 0.0000 0.0000

Theoretical density in g/cm³: 3.52
Fermi-level density of states in states/eV/cell: 1.84
Magnetization in μB/atom: 0.00
SG: No. 12

Which of them is the most stable? Correct choice: *one*.

*one*
## Li2ZnIn2 (PBE)

Data for a relaxed structure of Li2ZnIn2.

Unit cell a=5.0883 b=6.8690 c=7.1730 alpha=118.61 beta=110.77 gamma=90.00
Atoms (fractional coordinates):
In: 0.1788 0.9468 0.3576
In: 0.6788 0.4108 0.3576
In: 0.8212 0.0532 0.6424
In: 0.3212 0.5892 0.6424
Li: 0.4271 0.0892 0.8543
Li: 0.9271 0.7651 0.8543
Li: 0.5729 0.9108 0.1457
Li: 0.0729 0.2349 0.1457
Zn: 0.7500 0.5000 0.0000
Zn: 0.2500 0.5000 0.0000

Theoretical density in g/cm³: 5.10
Fermi-level density of states in states/eV/cell: 3.67
Magnetization in μB/atom: 0.00
SG: No. 72

*two*
## Li2ZnIn2 (PBE)

Data for a relaxed structure of Li2ZnIn2.

Unit cell a=3.2945 b=5.2860 c=6.1882 alpha=92.35 beta=74.56 gamma=71.84
Atoms (fractional coordinates):
Zn: 0.0000 0.0000 0.0000
In: 0.4206 0.3805 0.7783
In: 0.5794 0.6195 0.2217
Li: 0.2159 0.1949 0.3732
Li: 0.7841 0.8051 0.6268

Theoretical density in g/cm³: 5.25
Fermi-level density of states in states/eV/cell: 1.39
Magnetization in μB/atom: 0.00
SG: No. 12

*three*
## Li2ZnIn2 (PBE)

Data for a relaxed structure of Li2ZnIn2.

Unit cell a=7.3584 b=7.3584 c=3.6126 alpha=90.00 beta=90.00 gamma=90.00
Atoms (fractional coordinates):
In: 0.8390 0.3390 0.5000
In: 0.1610 0.6610 0.5000
In: 0.6610 0.8390 0.5000
In: 0.3390 0.1610 0.5000
Li: 0.1410 0.3590 0.0000
Li: 0.3590 0.8590 0.0000
Li: 0.8590 0.6410 0.0000
Li: 0.6410 0.1410 0.0000
Zn: 0.0000 0.0000 0.0000
Zn: 0.5000 0.5000 0.0000

Theoretical density in g/cm³: 5.25
Fermi-level density of states in states/eV/cell: 4.05
Magnetization in μB/atom: 0.00
SG: No. 127

*four*
## Li2ZnIn2 (PBE)

Data for a relaxed structure of Li2ZnIn2.

Unit cell a=7.4973 b=7.4973 c=3.5878 alpha=90.00 beta=90.00 gamma=90.00
Atoms (fractional coordinates):
Zn: 0.5000 0.5000 0.0000
Zn: 0.0000 0.0000 0.0000
Li: 0.8464 0.3464 0.5000
Li: 0.3464 0.1536 0.5000
Li: 0.6536 0.8464 0.5000
Li: 0.1536 0.6536 0.5000
In: 0.8530 0.6470 0.0000
In: 0.6470 0.1470 0.0000
In: 0.1470 0.3530 0.0000
In: 0.3530 0.8530 0.0000

Theoretical density in g/cm³: 5.09
Fermi-level density of states in states/eV/cell: 2.74
Magnetization in μB/atom: 0.00
SG: No. 127

Which of them is the most stable? Correct choice: *two*.

*one*
## LiZnIn4 (PBE)

Data for a relaxed structure of LiZnIn4.

Unit cell a=6.9362 b=6.9362 c=7.5720 alpha=117.26 beta=117.26 gamma=90.00
Atoms (fractional coordinates):
In: 0.9761 0.7933 0.2694
In: 0.2067 0.7067 0.7306
In: 0.5239 0.0239 0.7306
In: 0.7067 0.5239 0.7306
In: 0.2933 0.4761 0.2694
In: 0.7933 0.2933 0.2694
In: 0.4761 0.9761 0.2694
In: 0.0239 0.2067 0.7306
Zn: 0.2500 0.2500 0.5000
Zn: 0.7500 0.7500 0.5000
Li: 0.5000 0.5000 0.0000
Li: 0.0000 0.0000 0.0000

Theoretical density in g/cm³: 6.36
Fermi-level density of states in states/eV/cell: 5.34
Magnetization in μB/atom: 0.00
SG: No. 140

*two*
## LiZnIn4 (PBE)

Data for a relaxed structure of LiZnIn4.

Unit cell a=6.1014 b=6.1014 c=6.1014 alpha=60.00 beta=60.00 gamma=60.00
Atoms (fractional coordinates):
In: 0.8747 0.3751 0.3751
In: 0.3751 0.8747 0.3751
In: 0.3751 0.3751 0.3751
In: 0.3751 0.3751 0.8747
Li: 0.7500 0.7500 0.7500
Zn: 0.0000 0.0000 0.0000

Theoretical density in g/cm³: 5.50
Fermi-level density of states in states/eV/cell: 1.71
Magnetization in μB/atom: 0.00
SG: No. 216

*three*
## LiZnIn4 (PBE)

Data for a relaxed structure of LiZnIn4.

Unit cell a=5.5426 b=4.6019 c=7.2625 alpha=109.00 beta=68.37 gamma=113.75
Atoms (fractional coordinates):
Zn: 0.0000 0.5000 0.5000
In: 0.8643 0.2545 0.1385
In: 0.1357 0.7455 0.8615
In: 0.7469 0.9757 0.6975
In: 0.2531 0.0243 0.3025
Li: 0.5000 0.5000 0.0000

Theoretical density in g/cm³: 5.73
Fermi-level density of states in states/eV/cell: 2.05
Magnetization in μB/atom: 0.00
SG: No. 2

Which of them is the most stable? Correct choice: *one*.